Nb3MoF: optimized geometry, PBE+U.

Geometry as CIF:
```
data_Nb3MoF
_chemical_formula_sum 'Nb3 Mo1 F1'
_space_group_name_H-M_alt 'P m -3 m'
_space_group_IT_number 221
_space_group_name_Hall '-P 4 2 3'
_cell_length_a 4.8897
_cell_length_b 4.8897
_cell_length_c 4.8897
_cell_angle_alpha 90.00
_cell_angle_beta 90.00
_cell_angle_gamma 90.00
loop_
_atom_site_label
_atom_site_type_symbol
_atom_site_fract_x
_atom_site_fract_y
_atom_site_fract_z
Nb1 Nb 0.0000 0.0000 0.5000
Mo1 Mo 0.0000 0.0000 0.0000
F1 F 0.5000 0.5000 0.5000
```

Results
* density: 5.6 g cm⁻³
* magnetic moment: 0.260 μB per atom
* relative energy among the computed polymorphs: 1.261 eV per atom